(1)
A relaxed SrHg3 crystal. Source: Alexandria, functional PBEsol.

Cell lengths 6.8534, 6.8534, 5.0817 Å; angles 90.00, 90.00, 120.00 degrees
Element x y z (fractional)
Sr  0.3333  0.6667  0.2500
Sr  0.6667  0.3333  0.7500
Hg  0.1550  0.3100  0.7500
Hg  0.1550  0.8450  0.7500
Hg  0.3100  0.1550  0.2500
Hg  0.6900  0.8450  0.7500
Hg  0.8450  0.1550  0.2500
Hg  0.8450  0.6900  0.2500

Properties
- SG = P6_3/mmc
- formation energy (meV per atom) = -471
- total DFT energy (no corrections) (eV per atom) = -1.356


(2)
A relaxed SrHg crystal. Source: Alexandria, functional PBEsol.

Cell lengths 5.3209, 5.3209, 5.3209 Å; angles 60.00, 60.00, 60.00 degrees
Element x y z (fractional)
Sr  0.1250  0.1250  0.1250
Sr  0.8750  0.8750  0.8750
Hg  0.3750  0.3750  0.3750
Hg  0.6250  0.6250  0.6250

Properties
- SG = Fd-3m
- formation energy (meV per atom) = -364
- total DFT energy (no corrections) (eV per atom) = -1.568


(3)
A relaxed SrHg2 crystal. Source: Alexandria, functional PBEsol.

Cell lengths 7.2187, 7.2187, 7.2187 Å; angles 145.48, 126.44, 65.29 degrees
Element x y z (fractional)
Sr  0.1711  0.1711  0.0000
Sr  0.8289  0.8289  0.0000
Hg  0.2503  0.5000  0.7503
Hg  0.3721  0.8721  0.5000
Hg  0.6279  0.1279  0.5000
Hg  0.7497  0.5000  0.2497

Properties
- SG = Immm
- formation energy (meV per atom) = -490
- total DFT energy (no corrections) (eV per atom) = -1.481